First-principles (PBE-GGA) data for Ac12La3Tm after structural relaxation, as listed in Alexandria via LeMat-Bulk.

a = 5.540 Å, b = 5.540 Å, c = 22.155 Å
α = 90.00°, β = 90.00°, γ = 90.00°
Element x y z (fractional)
Ac 0.000 0.000 0.000
Ac 0.000 0.000 0.248
Ac 0.000 0.000 0.500
Ac 0.000 0.000 0.752
Ac 0.000 0.500 0.122
Ac 0.000 0.500 0.374
Ac 0.000 0.500 0.626
Ac 0.000 0.500 0.878
Ac 0.500 0.000 0.122
Ac 0.500 0.000 0.374
Ac 0.500 0.000 0.626
Ac 0.500 0.000 0.878
La 0.500 0.500 0.248
La 0.500 0.500 0.500
La 0.500 0.500 0.752
Tm 0.500 0.500 0.000

Calculated values
- DOS at the Fermi energy: 1.7811 states/eV per atom
- Energy relative to the elements: 25 meV/atom
- SG: P4/mmm
- Calculated total energy: -68.16 eV for the cell shown

=====

First-principles (PBE-GGA) data for CoNi2Ge after structural relaxation, as listed in Alexandria via LeMat-Bulk.

a = 7.458 Å, b = 7.458 Å, c = 7.458 Å
α = 151.98°, β = 151.98°, γ = 40.04°
Element x y z (fractional)
Co 0.250 0.750 0.500
Co 0.750 0.250 0.500
Ni 0.000 0.500 0.500
Ni 0.126 0.126 0.000
Ni 0.500 0.000 0.500
Ni 0.874 0.874 0.000
Ge 0.373 0.373 0.000
Ge 0.627 0.627 0.000

Calculated values
- DOS at the Fermi energy: 1.1513 states/eV per atom
- Energy relative to the elements: -179 meV/atom
- SG: I4/mmm
- Calculated total energy: -48.00 eV for the cell shown

=====

First-principles (PBE-GGA) data for SrNpSe2 after structural relaxation, as listed in Alexandria via LeMat-Bulk.

a = 7.996 Å, b = 7.996 Å, c = 7.996 Å
α = 29.81°, β = 29.81°, γ = 29.81°
Element x y z (fractional)
Sr 0.000 0.000 0.000
Np 0.829 0.829 0.829
Se 0.417 0.417 0.417
Se 0.578 0.578 0.578

Calculated values
- DOS at the Fermi energy: 2.7291 states/eV per atom
- ΔE to the lowest computed polymorph: 0.39 eV/f.u.
- Formation energy without anion corrections: -5.5 eV/f.u.
- SG: R3m
- Calculated total energy: -27.09 eV for the cell shown

=====

First-principles (PBE-GGA) data for BaSnBi2S6 after structural relaxation, as listed in Alexandria via LeMat-Bulk.

a = 7.591 Å, b = 7.591 Å, c = 7.591 Å
α = 56.28°, β = 56.28°, γ = 56.28°
Element x y z (fractional)
Ba 0.000 0.000 0.000
Sn 0.526 0.526 0.526
Bi 0.211 0.211 0.211
Bi 0.725 0.725 0.725
S 0.151 0.436 0.782
S 0.372 0.913 0.563
S 0.436 0.782 0.151
S 0.563 0.372 0.913
S 0.782 0.151 0.436
S 0.913 0.563 0.372

Calculated values
- Formation energy without anion corrections: -6.6 eV/f.u.
- SG: R3
- Calculated total energy: -45.01 eV for the cell shown

=====

First-principles (PBE-GGA) data for Ca2RuCl after structural relaxation, as listed in Alexandria via LeMat-Bulk.

a = 4.984 Å, b = 5.700 Å, c = 5.700 Å
α = 33.40°, β = 90.00°, γ = 90.00°
Element x y z (fractional)
Ca 0.000 0.000 0.000
Ca 0.500 0.260 0.260
Ru 0.000 0.744 0.744
Cl 0.500 0.521 0.521

Calculated values
- DOS at the Fermi energy: 0.6363 states/eV per atom
- ΔE to the lowest computed polymorph: 0.66 eV/f.u.
- Formation energy without anion corrections: -1.9 eV/f.u.
- SG: Amm2
- Calculated total energy: -17.03 eV for the cell shown

=====

First-principles (PBE-GGA) data for Dy2TlRh after structural relaxation, as listed in Alexandria via LeMat-Bulk.

a = 5.114 Å, b = 5.114 Å, c = 5.114 Å
α = 60.00°, β = 60.00°, γ = 60.00°
Element x y z (fractional)
Dy 0.250 0.250 0.250
Dy 0.750 0.750 0.750
Tl 0.000 0.000 0.000
Rh 0.500 0.500 0.500

Calculated values
- DOS at the Fermi energy: 0.4676 states/eV per atom
- ΔE to the lowest computed polymorph: 0.48 eV/f.u.
- Energy relative to the elements: -497 meV/atom
- SG: Fm-3m
- Calculated total energy: -20.91 eV for the cell shown

=====

First-principles (PBE-GGA) data for InReOs2F after structural relaxation, as listed in Alexandria via LeMat-Bulk.

a = 4.439 Å, b = 4.439 Å, c = 4.006 Å
α = 90.00°, β = 90.00°, γ = 90.00°
Element x y z (fractional)
In 0.000 0.000 0.000
Re 0.500 0.500 0.000
Os 0.000 0.500 0.500
Os 0.500 0.000 0.500
F 0.500 0.500 0.500

Calculated values
- DOS at the Fermi energy: 1.2830 states/eV per atom
- Formation energy without anion corrections: 7.4 eV/f.u.
- SG: P4/mmm
- Calculated total energy: -32.15 eV for the cell shown

=====

First-principles (PBE-GGA) data for Y2TmBiC after structural relaxation, as listed in Alexandria via LeMat-Bulk.

a = 4.944 Å, b = 4.944 Å, c = 4.836 Å
α = 90.00°, β = 90.00°, γ = 90.00°
Element x y z (fractional)
Y 0.000 0.500 0.000
Y 0.500 0.000 0.000
Tm 0.000 0.000 0.500
Bi 0.500 0.500 0.500
C 0.000 0.000 0.000

Calculated values
- DOS at the Fermi energy: 0.6705 states/eV per atom
- Energy relative to the elements: -552 meV/atom
- SG: P4/mmm
- Calculated total energy: -33.26 eV for the cell shown

=====

First-principles (PBE-GGA) data for La2TmGe3Pt12 after structural relaxation, as listed in Alexandria via LeMat-Bulk.

a = 7.855 Å, b = 7.855 Å, c = 7.855 Å
α = 64.81°, β = 64.81°, γ = 64.81°
Element x y z (fractional)
La 0.102 0.102 0.102
La 0.898 0.898 0.898
Tm 0.500 0.500 0.500
Ge 0.000 0.500 0.500
Ge 0.500 0.000 0.500
Ge 0.500 0.500 0.000
Pt 0.107 0.647 0.647
Pt 0.141 0.141 0.595
Pt 0.141 0.595 0.141
Pt 0.353 0.353 0.893
Pt 0.353 0.893 0.353
Pt 0.405 0.859 0.859
Pt 0.595 0.141 0.141
Pt 0.647 0.107 0.647
Pt 0.647 0.647 0.107
Pt 0.859 0.405 0.859
Pt 0.859 0.859 0.405
Pt 0.893 0.353 0.353

Calculated values
- DOS at the Fermi energy: 0.4489 states/eV per atom
- Energy relative to the elements: -441 meV/atom
- SG: R-3m
- Calculated total energy: -108.61 eV for the cell shown

=====

First-principles (PBE-GGA) data for LaCeTc after structural relaxation, as listed in Alexandria via LeMat-Bulk.

a = 4.890 Å, b = 5.110 Å, c = 6.690 Å
α = 90.00°, β = 98.24°, γ = 90.00°
Element x y z (fractional)
La 0.094 0.250 0.161
La 0.906 0.750 0.839
Ce 0.427 0.250 0.680
Ce 0.573 0.750 0.320
Tc 0.144 0.750 0.430
Tc 0.856 0.250 0.570

Calculated values
- DOS at the Fermi energy: 1.2679 states/eV per atom
- ΔE to the lowest computed polymorph: 0.05 eV/f.u.
- Energy relative to the elements: -63 meV/atom
- SG: P2_1/m
- Calculated total energy: -42.83 eV for the cell shown

=====

First-principles (PBE-GGA) data for PrDyAlSn after structural relaxation, as listed in Alexandria via LeMat-Bulk.

a = 5.339 Å, b = 5.339 Å, c = 5.339 Å
α = 60.00°, β = 60.00°, γ = 60.00°
Element x y z (fractional)
Pr 0.000 0.000 0.000
Dy 0.500 0.500 0.500
Al 0.250 0.250 0.250
Sn 0.750 0.750 0.750

Calculated values
- DOS at the Fermi energy: 0.7894 states/eV per atom
- Energy relative to the elements: -433 meV/atom
- SG: F-43m
- Calculated total energy: -18.86 eV for the cell shown

=====

First-principles (PBE-GGA) data for CoNi2Br after structural relaxation, as listed in Alexandria via LeMat-Bulk.

a = 5.904 Å, b = 5.904 Å, c = 5.904 Å
α = 35.92°, β = 35.92°, γ = 35.92°
Element x y z (fractional)
Co 0.000 0.000 0.000
Ni 0.447 0.447 0.447
Ni 0.715 0.715 0.715
Br 0.217 0.217 0.217

Calculated values
- DOS at the Fermi energy: 1.3131 states/eV per atom
- ΔE to the lowest computed polymorph: 0.56 eV/f.u.
- Formation energy without anion corrections: 2.1 eV/f.u.
- SG: R3m
- Calculated total energy: -18.24 eV for the cell shown

=====

First-principles (PBE-GGA) data for BaSc after structural relaxation, as listed in Alexandria via LeMat-Bulk.

a = 4.253 Å, b = 4.253 Å, c = 4.253 Å
α = 90.00°, β = 90.00°, γ = 90.00°
Element x y z (fractional)
Ba 0.000 0.000 0.000
Sc 0.500 0.500 0.500

Calculated values
- DOS at the Fermi energy: 2.2142 states/eV per atom
- ΔE to the lowest computed polymorph: 0.46 eV/f.u.
- Energy relative to the elements: 466 meV/atom
- SG: Pm-3m
- Calculated total energy: -7.32 eV for the cell shown

=====

First-principles (PBE-GGA) data for BaRe2Ru after structural relaxation, as listed in Alexandria via LeMat-Bulk.

a = 3.835 Å, b = 3.835 Å, c = 5.309 Å
α = 90.00°, β = 90.00°, γ = 90.00°
Element x y z (fractional)
Ba 0.000 0.000 0.000
Re 0.000 0.500 0.500
Re 0.500 0.000 0.500
Ru 0.500 0.500 0.000

Calculated values
- DOS at the Fermi energy: 1.5060 states/eV per atom
- ΔE to the lowest computed polymorph: 4.04 eV/f.u.
- Energy relative to the elements: 1587 meV/atom
- SG: P4/mmm
- Calculated total energy: -29.75 eV for the cell shown

=====

First-principles (PBE-GGA) data for Ac2HfTc2N6 after structural relaxation, as listed in Alexandria via LeMat-Bulk.

a = 6.616 Å, b = 6.616 Å, c = 6.616 Å
α = 54.59°, β = 54.59°, γ = 54.59°
Element x y z (fractional)
Ac 0.214 0.214 0.214
Ac 0.786 0.786 0.786
Hf 0.000 0.000 0.000
Tc 0.434 0.434 0.434
Tc 0.566 0.566 0.566
N 0.232 0.760 0.760
N 0.240 0.240 0.768
N 0.240 0.768 0.240
N 0.760 0.232 0.760
N 0.760 0.760 0.232
N 0.768 0.240 0.240

Calculated values
- DOS at the Fermi energy: 0.2013 states/eV per atom
- Formation energy without anion corrections: -8.3 eV/f.u.
- SG: R-3m
- Calculated total energy: -97.11 eV for the cell shown

=====

First-principles (PBE-GGA) data for Te2AsPb after structural relaxation, as listed in Alexandria via LeMat-Bulk.

a = 3.409 Å, b = 3.409 Å, c = 10.550 Å
α = 90.00°, β = 90.00°, γ = 114.18°
Element x y z (fractional)
Te 0.000 0.000 0.000
Te 0.500 0.500 0.282
As 0.000 0.000 0.480
Pb 0.500 0.500 0.737

Calculated values
- DOS at the Fermi energy: 0.6296 states/eV per atom
- ΔE to the lowest computed polymorph: 1.33 eV/f.u.
- Formation energy without anion corrections: 1.0 eV/f.u.
- SG: Cmm2
- Calculated total energy: -13.60 eV for the cell shown

=====

First-principles (PBE-GGA) data for HfBe3Ge after structural relaxation, as listed in Alexandria via LeMat-Bulk.

a = 4.726 Å, b = 4.726 Å, c = 4.726 Å
α = 90.00°, β = 90.00°, γ = 90.00°
Element x y z (fractional)
Hf 0.000 0.000 0.000
Be 0.000 0.000 0.500
Be 0.000 0.500 0.000
Be 0.500 0.000 0.000
Ge 0.500 0.500 0.500

Calculated values
- DOS at the Fermi energy: 1.1104 states/eV per atom
- ΔE to the lowest computed polymorph: 5.18 eV/f.u.
- Energy relative to the elements: 1790 meV/atom
- SG: Pm-3m
- Calculated total energy: -16.80 eV for the cell shown

=====

First-principles (PBE-GGA) data for KGaSn after structural relaxation, as listed in Alexandria via LeMat-Bulk.

a = 6.377 Å, b = 6.377 Å, c = 6.377 Å
α = 133.84°, β = 96.45°, γ = 101.25°
Element x y z (fractional)
K 0.000 0.000 0.000
K 0.652 0.152 0.500
Ga 0.260 0.417 0.843
Ga 0.574 0.417 0.157
Sn 0.054 0.731 0.323
Sn 0.408 0.731 0.677

Calculated values
- DOS at the Fermi energy: 0.0760 states/eV per atom
- Energy relative to the elements: -210 meV/atom
- SG: Imm2
- Calculated total energy: -17.52 eV for the cell shown

=====

First-principles (PBE-GGA) data for SrInTe4 after structural relaxation, as listed in Alexandria via LeMat-Bulk.

a = 6.555 Å, b = 6.555 Å, c = 6.555 Å
α = 60.00°, β = 60.00°, γ = 60.00°
Element x y z (fractional)
Sr 0.000 0.000 0.000
In 0.250 0.250 0.250
Te 0.125 0.625 0.625
Te 0.625 0.125 0.625
Te 0.625 0.625 0.125
Te 0.625 0.625 0.625

Calculated values
- DOS at the Fermi energy: 0.7520 states/eV per atom
- Formation energy without anion corrections: -1.3 eV/f.u.
- SG: F-43m
- Calculated total energy: -18.24 eV for the cell shown

=====

First-principles (PBE-GGA) data for La2Zn2Tc after structural relaxation, as listed in Alexandria via LeMat-Bulk.

a = 5.545 Å, b = 5.545 Å, c = 5.545 Å
α = 116.69°, β = 116.69°, γ = 95.84°
Element x y z (fractional)
La 0.250 0.750 0.500
La 0.750 0.250 0.500
Zn 0.157 0.157 0.000
Zn 0.843 0.843 0.000
Tc 0.500 0.500 0.000

Calculated values
- DOS at the Fermi energy: 0.7797 states/eV per atom
- Energy relative to the elements: 227 meV/atom
- SG: I4/mmm
- Calculated total energy: -21.63 eV for the cell shown

=====

First-principles (PBE-GGA) data for KBiSb2 after structural relaxation, as listed in Alexandria via LeMat-Bulk.

a = 4.982 Å, b = 4.982 Å, c = 4.906 Å
α = 90.00°, β = 90.00°, γ = 90.00°
Element x y z (fractional)
K 0.000 0.000 0.000
Bi 0.500 0.500 0.000
Sb 0.000 0.500 0.500
Sb 0.500 0.000 0.500

Calculated values
- DOS at the Fermi energy: 0.4937 states/eV per atom
- Formation energy without anion corrections: -0.2 eV/f.u.
- SG: P4/mmm
- Calculated total energy: -13.44 eV for the cell shown

=====

First-principles (PBE-GGA) data for CaTe2Se after structural relaxation, as listed in Alexandria via LeMat-Bulk.

a = 8.622 Å, b = 8.622 Å, c = 8.622 Å
α = 151.94°, β = 151.94°, γ = 40.10°
Element x y z (fractional)
Ca 0.000 0.000 0.000
Te 0.250 0.750 0.500
Te 0.750 0.250 0.500
Se 0.500 0.500 0.000

Calculated values
- DOS at the Fermi energy: 1.0772 states/eV per atom
- Formation energy without anion corrections: -2.8 eV/f.u.
- SG: I4/mmm
- Calculated total energy: -14.56 eV for the cell shown

=====

First-principles (PBE-GGA) data for Ac2HoPuTe5 after structural relaxation, as listed in Alexandria via LeMat-Bulk.

a = 5.481 Å, b = 5.481 Å, c = 11.881 Å
α = 90.00°, β = 90.00°, γ = 90.00°
Element x y z (fractional)
Ac 0.000 0.000 0.208
Ac 0.000 0.000 0.792
Ho 0.500 0.500 0.000
Pu 0.500 0.500 0.500
Te 0.000 0.000 0.500
Te 0.000 0.500 0.000
Te 0.500 0.000 0.000
Te 0.500 0.500 0.251
Te 0.500 0.500 0.749

Calculated values
- DOS at the Fermi energy: 2.3197 states/eV per atom
- Formation energy without anion corrections: -8.7 eV/f.u.
- SG: P4/mmm
- Calculated total energy: -51.57 eV for the cell shown

=====

First-principles (PBE-GGA) data for MgCuF2 after structural relaxation, as listed in Alexandria via LeMat-Bulk.

a = 4.082 Å, b = 4.082 Å, c = 4.082 Å
α = 60.00°, β = 60.00°, γ = 60.00°
Element x y z (fractional)
Mg 0.000 0.000 0.000
Cu 0.500 0.500 0.500
F 0.250 0.250 0.250
F 0.750 0.750 0.750

Calculated values
- DOS at the Fermi energy: 0.2029 states/eV per atom
- ΔE to the lowest computed polymorph: 3.16 eV/f.u.
- Formation energy without anion corrections: -5.6 eV/f.u.
- SG: Fm-3m
- Calculated total energy: -15.05 eV for the cell shown

=====

First-principles (PBE-GGA) data for As2OsSe after structural relaxation, as listed in Alexandria via LeMat-Bulk.

a = 2.943 Å, b = 2.943 Å, c = 8.688 Å
α = 90.00°, β = 90.00°, γ = 90.00°
Element x y z (fractional)
As 0.000 0.000 0.000
As 0.500 0.500 0.290
Os 0.000 0.000 0.481
Se 0.500 0.500 0.669

Calculated values
- DOS at the Fermi energy: 0.8759 states/eV per atom
- ΔE to the lowest computed polymorph: 1.20 eV/f.u.
- Formation energy without anion corrections: 1.6 eV/f.u.
- SG: P4mm
- Calculated total energy: -22.42 eV for the cell shown

=====

First-principles (PBE-GGA) data for Nd9Mg2Tl after structural relaxation, as listed in Alexandria via LeMat-Bulk.

a = 5.023 Å, b = 5.023 Å, c = 15.090 Å
α = 90.00°, β = 90.00°, γ = 90.00°
Element x y z (fractional)
Nd 0.000 0.000 0.000
Nd 0.000 0.000 0.334
Nd 0.000 0.000 0.666
Nd 0.000 0.500 0.165
Nd 0.000 0.500 0.500
Nd 0.000 0.500 0.835
Nd 0.500 0.000 0.165
Nd 0.500 0.000 0.500
Nd 0.500 0.000 0.835
Mg 0.500 0.500 0.333
Mg 0.500 0.500 0.667
Tl 0.500 0.500 0.000

Calculated values
- DOS at the Fermi energy: 1.7516 states/eV per atom
- Energy relative to the elements: -68 meV/atom
- SG: P4/mmm
- Calculated total energy: -49.29 eV for the cell shown

=====

First-principles (PBE-GGA) data for Dy2ErRh after structural relaxation, as listed in Alexandria via LeMat-Bulk.

a = 10.685 Å, b = 10.685 Å, c = 10.685 Å
α = 19.35°, β = 19.35°, γ = 19.35°
Element x y z (fractional)
Dy 0.109 0.109 0.109
Dy 0.891 0.891 0.891
Er 0.000 0.000 0.000
Rh 0.500 0.500 0.500

Calculated values
- DOS at the Fermi energy: 1.2976 states/eV per atom
- ΔE to the lowest computed polymorph: 1.60 eV/f.u.
- Energy relative to the elements: -136 meV/atom
- SG: R-3m
- Calculated total energy: -21.66 eV for the cell shown